Entry 1:
The following is a DFT calculation (GGA-PBE) of Zn2FeP after structural relaxation.

Properties
As for the calculated volume: 55 Å³/f.u. The energy of formation comes out at 0.157 eV per atom. The size of the total moment comes out at 4.446 Bohr magnetons per cell.

a = 4.8765 Å, b = 7.9372 Å, c = 2.8170 Å
α = 90.00°, β = 90.00°, γ = 90.00°
Space group Cmmm (No. 65)
Symmetry-distinct sites (fractional):
Zn  0.2500  0.2500  0.0000 (multiplicity 4)
Fe  0.0000  0.0000  0.5000 (multiplicity 2)
P  0.0000  0.5000  0.5000 (multiplicity 2)

***

Entry 2:
The following is a DFT calculation (GGA-PBE) of Zn4FeP after structural relaxation.

Properties
As for the calculated volume: 88 Å³/f.u. The energy of formation comes out at 0.365 eV per atom. The size of the total moment comes out at 6.903 Bohr magnetons per cell.

a = 7.0506 Å, b = 7.0506 Å, c = 7.0506 Å
α = 90.00°, β = 90.00°, γ = 90.00°
Space group F-43m (No. 216)
Symmetry-distinct sites (fractional):
Zn  0.1243  0.1243  0.1243 (multiplicity 16)
Fe  0.2500  0.2500  0.7500 (multiplicity 4)
P  0.0000  0.0000  0.5000 (multiplicity 4)

***

Entry 3:
The following is a DFT calculation (GGA-PBE) of ZnFe4P after structural relaxation.

Properties
As for the calculated volume: 75 Å³/f.u. The energy of formation comes out at 0.274 eV per atom. The size of the total moment comes out at 33.997 Bohr magnetons per cell.

a = 6.7090 Å, b = 6.7090 Å, c = 6.7090 Å
α = 90.00°, β = 90.00°, γ = 90.00°
Space group F-43m (No. 216)
Symmetry-distinct sites (fractional):
Zn  0.0000  0.0000  0.0000 (multiplicity 4)
Fe  0.1253  0.1253  0.6253 (multiplicity 16)
P  0.2500  0.2500  0.2500 (multiplicity 4)

***

Entry 4:
The following is a DFT calculation (GGA-PBE) of Zn3FeP after structural relaxation.

Properties
As for the calculated volume: 99 Å³/f.u. The energy of formation comes out at 0.822 eV per atom. The offset from the most stable computed form is 0.0000 eV per atom. The size of the total moment comes out at 3.344 Bohr magnetons per cell.

a = 4.6217 Å, b = 4.6217 Å, c = 4.6217 Å
α = 90.00°, β = 90.00°, γ = 90.00°
Space group Pm-3m (No. 221)
Symmetry-distinct sites (fractional):
Zn  0.0000  0.0000  0.5000 (multiplicity 3)
Fe  0.5000  0.5000  0.5000 (multiplicity 1)
P  0.0000  0.0000  0.0000 (multiplicity 1)

***

Entry 5:
The following is a DFT calculation (GGA-PBE) of ZnFe3P after structural relaxation.

Properties
As for the calculated volume: 71 Å³/f.u. The energy of formation comes out at 0.240 eV per atom. The offset from the most stable computed form is 0.0000 eV per atom. The size of the total moment comes out at 5.346 Bohr magnetons per cell.

a = 4.1449 Å, b = 4.1449 Å, c = 4.1449 Å
α = 90.00°, β = 90.00°, γ = 90.00°
Space group Pm-3m (No. 221)
Symmetry-distinct sites (fractional):
Zn  0.0000  0.0000  0.0000 (multiplicity 1)
Fe  0.0000  0.5000  0.5000 (multiplicity 3)
P  0.5000  0.5000  0.5000 (multiplicity 1)

***

Entry 6:
The following is a DFT calculation (GGA-PBE) of Zn2FeP after structural relaxation.

Properties
As for the calculated volume: 54 Å³/f.u. The energy of formation comes out at 0.098 eV per atom. The size of the total moment comes out at 1.967 Bohr magnetons per cell.

a = 3.3711 Å, b = 3.3711 Å, c = 4.7762 Å
α = 90.00°, β = 90.00°, γ = 90.00°
Space group P4/mmm (No. 123)
Symmetry-distinct sites (fractional):
Zn  0.0000  0.0000  0.2461 (multiplicity 2)
Fe  0.5000  0.5000  0.0000 (multiplicity 1)
P  0.5000  0.5000  0.5000 (multiplicity 1)

***

Entry 7:
The following is a DFT calculation (GGA-PBE) of Zn2Fe2P after structural relaxation.

Properties
As for the calculated volume: 64 Å³/f.u. The energy of formation comes out at -0.150 eV per atom. The offset from the most stable computed form is 0.0000 eV per atom. The size of the total moment comes out at 0.000 Bohr magnetons per cell.

a = 5.5947 Å, b = 5.5947 Å, c = 4.0732 Å
α = 90.00°, β = 90.00°, γ = 90.00°
Space group P4/mbm (No. 127)
Symmetry-distinct sites (fractional):
Zn  0.1603  0.3397  0.0000 (multiplicity 4)
Fe  0.1474  0.6474  0.5000 (multiplicity 4)
P  0.0000  0.0000  0.5000 (multiplicity 2)

***

Entry 8:
The following is a DFT calculation (GGA-PBE) of Zn2FeP after structural relaxation.

Properties
As for the calculated volume: 55 Å³/f.u. The energy of formation comes out at 0.041 eV per atom. The size of the total moment comes out at 0.004 Bohr magnetons per cell.

a = 3.3062 Å, b = 3.5528 Å, c = 4.9864 Å
α = 90.00°, β = 109.23°, γ = 90.00°
Space group Pm (No. 6)
Symmetry-distinct sites (fractional):
Zn  0.0000  0.0000  0.0000 (multiplicity 1)
Zn  0.3327  0.5000  0.6675 (multiplicity 1)
Fe  0.6053  0.5000  0.2112 (multiplicity 1)
P  0.7305  0.0000  0.4627 (multiplicity 1)